Record 1
Entry from the Alexandria database: a relaxed structure of SrCrRh2Au (PBE-GGA).

abc: 4.481 5.725 4.481
angles: 90.00 90.00 90.00
Each line ends with the local moment (μB).
Sites, in units of the cell vectors:
Sr (0.000, 0.500, 0.000)  0.04
Cr (0.000, 0.000, 0.000)  1.81
Au (0.500, 0.500, 0.500)  0.01
Rh (0.500, 0.000, 0.000)  0.01
Rh (0.000, 0.000, 0.500)  -0.10

Summary:
Total DFT energy (no corrections) (eV per atom): -5.210

Record 2
Entry from the Alexandria database: a relaxed structure of KAl4Rh (PBE-GGA).

abc: 5.416 5.416 5.416
angles: 60.00 60.00 60.00
Sites, in units of the cell vectors:
Al (0.877, 0.374, 0.374)
Rh (0.000, 0.000, 0.000)
K (0.750, 0.750, 0.750)
Al (0.374, 0.374, 0.374)
Al (0.374, 0.374, 0.877)
Al (0.374, 0.877, 0.374)

Summary:
Total DFT energy (no corrections) (eV per atom): -3.695

Record 3
Entry from the Alexandria database: a relaxed structure of Si3Se (PBE-GGA).

abc: 2.820 2.820 9.978
angles: 90.00 90.00 120.00
Sites, in units of the cell vectors:
Si (0.667, 0.333, 0.710)
Si (0.667, 0.333, 0.290)
Si (0.000, 0.000, 0.500)
Se (0.000, 0.000, 0.000)

Summary:
Formation energy from raw total energies (meV per atom): 610
Total DFT energy (no corrections) (eV per atom): -4.328

Record 4
Entry from the Alexandria database: a relaxed structure of SmB2Pt5 (PBE-GGA).

abc: 4.053 5.964 5.964
angles: 66.56 70.14 70.14
Sites, in units of the cell vectors:
Pt (0.654, 0.134, 0.559)
B (0.758, 0.742, 0.742)
Pt (0.346, 0.866, 0.441)
Pt (0.000, 0.500, 0.500)
B (0.242, 0.258, 0.258)
Pt (0.346, 0.441, 0.866)
Sm (0.000, 0.000, 0.000)
Pt (0.654, 0.559, 0.134)

Summary:
Total DFT energy (no corrections) (eV per atom): -6.647

Record 5
Entry from the Alexandria database: a relaxed structure of CaSnBi2Ir (PBE-GGA).

abc: 5.796 4.936 5.796
angles: 90.00 90.00 90.00
Sites, in units of the cell vectors:
Ca (0.500, 0.500, 0.500)
Ir (0.000, 0.500, 0.000)
Sn (0.000, 0.000, 0.000)
Bi (0.500, 0.000, 0.000)
Bi (0.000, 0.000, 0.500)

Summary:
Total DFT energy (no corrections) (eV per atom): -4.031

Record 6
Entry from the Alexandria database: a relaxed structure of TbHfTlIn (PBE-GGA).

abc: 5.183 5.183 5.183
angles: 60.00 60.00 60.00
Sites, in units of the cell vectors:
Hf (0.250, 0.250, 0.250)
In (0.500, 0.500, 0.500)
Tb (0.750, 0.750, 0.750)
Tl (0.000, 0.000, 0.000)

Summary:
Total DFT energy (no corrections) (eV per atom): -5.007